Material: CuAg4
Method: DFT, GGA-PBE
State: relaxed

Computed properties:
The formation energy is 0.058 eV per atom. Its symmetry is No. 12. The calculation puts the electronic total energy at -2.9453 eV per atom. As for the crystal system: monoclinic. The distance to the lowest polymorph of the same formula is 3.2 kJ/mol of atoms. The calculation puts the mass density at 9.8 g/cm³.

Lattice parameters (Å, degrees): 5.004 5.004 12.319 100.14 100.14 33.79
Atoms (fractional coordinates):
Ag  0.000  0.000  0.000
Ag  0.292  0.292  0.102
Ag  0.908  0.908  0.294
Ag  0.201  0.201  0.391
Ag  0.500  0.500  0.500
Ag  0.799  0.799  0.609
Ag  0.092  0.092  0.706
Ag  0.708  0.708  0.898
Cu  0.598  0.598  0.196
Cu  0.402  0.402  0.804

=====

Material: YLu2Tl
Method: DFT, GGA-PBE
State: relaxed

Computed properties:
Its symmetry is No. 216. The calculation puts the electronic total energy at -4.4857 eV per atom. As for the crystal system: cubic. The calculation puts the mass density at 9.7 g/cm³.

Lattice parameters (Å, degrees): 5.377 5.377 5.377 60.00 60.00 60.00
Atoms (fractional coordinates):
Lu  0.000  0.000  0.000
Lu  0.750  0.750  0.750
Tl  0.500  0.500  0.500
Y  0.250  0.250  0.250

=====

Material: HoPtF3
Method: DFT, GGA-PBE
State: relaxed

Computed properties:
Its symmetry is No. 63. The calculation puts the electronic total energy at -5.7541 eV per atom. As for the crystal system: orthorhombic. The calculation puts the mass density at 10.8 g/cm³.

Lattice parameters (Å, degrees): 7.204 7.204 4.678 90.00 90.00 148.22
Last column: magnetic moment on the atom in μB.
Atoms (fractional coordinates):
F  0.803  0.197  0.008  0.00
F  0.623  0.377  0.250  0.05
F  0.803  0.197  0.492  0.00
F  0.197  0.803  0.508  0.00
F  0.377  0.623  0.750  0.05
F  0.197  0.803  0.992  0.00
Ho  0.333  0.667  0.250  0.01
Ho  0.667  0.333  0.750  0.01
Pt  0.025  0.975  0.250  0.59
Pt  0.975  0.025  0.750  0.59